Record 1
Density functional theory data (PBE) for a relaxed structure of ScIr2Au.

a = 2.926 Å, b = 3.957 Å, c = 5.695 Å
α = 90.00°, β = 90.07°, γ = 90.00°
Space group Pm (No. 6)
Unique sites:
Sc: 0.000 0.000 0.000 x1
Ir: 0.000 0.000 0.536 x1
Ir: 0.500 0.500 0.741 x1
Au: 0.500 0.500 0.263 x1

Computed properties:
Crystal system: monoclinic
E_form in eV per atom: -0.34
Magnetization in μB per formula unit: 0.00
Relative energy among the computed polymorphs in eV per atom: 0.1580

Record 2
Density functional theory data (PBE) for a relaxed structure of NbRu3Se.

a = 4.754 Å, b = 4.754 Å, c = 4.754 Å
α = 90.00°, β = 90.00°, γ = 90.00°
Space group Pm-3m (No. 221)
Unique sites:
Nb: 0.000 0.000 0.000 x1
Ru: 0.000 0.000 0.500 x3
Se: 0.500 0.500 0.500 x1

Computed properties:
Crystal system: cubic
Magnetization in μB per formula unit: 3.22
Relative energy among the computed polymorphs in eV per atom: 0.6858

Record 3
Density functional theory data (PBE) for a relaxed structure of NpNiPN.

a = 3.781 Å, b = 3.781 Å, c = 7.805 Å
α = 90.00°, β = 90.00°, γ = 90.00°
Space group P4/nmm (No. 129, origin choice 2)
Unique sites:
Np: 0.250 0.250 0.150 x2
Ni: 0.250 0.750 0.500 x2
P: 0.250 0.250 0.656 x2
N: 0.250 0.750 0.000 x2

Computed properties:
Crystal system: tetragonal
Electronic total energy in eV/f.u.: -36.3
Magnetization in μB per formula unit: 2.66